Below is a geometry-optimized LiMgI2 structure, with properties calculated at the PBE-GGA level.

Space-group type ... R-3m
Raw total energy ... -2.2880 eV per atom

Cell: 4.257 4.257 9.288 Å, 76.75 76.75 60.00°
Fractional coordinates of all 4 atoms:
I 0.105 0.105 0.684
I 0.895 0.895 0.316
Mg 0.000 0.000 0.000
Li 0.500 0.500 0.500

***

Below is a geometry-optimized TbPr2Rh2 structure, with properties calculated at the PBE-GGA level.

Space-group type ... C2/m
Formation enthalpy at 0 K ... -58 kJ/mol of atoms

Cell: 3.910 6.875 10.240 Å, 91.66 78.99 73.48°
Fractional coordinates of all 10 atoms:
Tb 0.845 0.949 0.362
Tb 0.155 0.051 0.638
Pr 0.586 0.754 0.073
Pr 0.852 0.606 0.690
Pr 0.414 0.246 0.927
Pr 0.148 0.394 0.310
Rh 0.131 0.861 0.877
Rh 0.429 0.694 0.447
Rh 0.869 0.139 0.123
Rh 0.571 0.306 0.553

***

Below is a geometry-optimized BeCSN2 structure, with properties calculated at the PBE-GGA level.

Space-group type ... P4/mmm
Raw total energy ... -5.2260 eV per atom

Cell: 2.979 2.979 7.731 Å, 90.00 90.00 90.00°
Fractional coordinates of all 5 atoms:
Be 0.500 0.500 0.500
S 0.000 0.000 0.500
C 0.000 0.000 0.000
N 0.000 0.500 0.000
N 0.500 0.000 0.000

***

Below is a geometry-optimized TlCrCd4 structure, with properties calculated at the PBE-GGA level.

Space-group type ... F-43m
Formation enthalpy at 0 K ... 28 kJ/mol of atoms

Cell: 5.840 5.840 5.840 Å, 60.00 60.00 60.00°
Fractional coordinates of all 6 atoms:
Tl 0.000 0.000 0.000
Cr 0.750 0.750 0.750
Cd 0.873 0.376 0.376
Cd 0.376 0.376 0.873
Cd 0.376 0.873 0.376
Cd 0.376 0.376 0.376

***

Below is a geometry-optimized KHoGe2I8 structure, with properties calculated at the PBE-GGA level.

Space-group type ... P-1
Raw total energy ... -3.0788 eV per atom

Cell: 7.731 7.243 9.626 Å, 86.41 85.22 85.57°
Fractional coordinates of all 12 atoms:
K 0.000 0.000 0.500
Ho 0.000 0.000 0.000
Ge 0.462 0.454 0.745
Ge 0.538 0.546 0.255
I 0.169 0.750 0.221
I 0.679 0.770 0.025
I 0.842 0.255 0.222
I 0.831 0.250 0.779
I 0.321 0.230 0.975
I 0.158 0.745 0.778
I 0.637 0.724 0.472
I 0.363 0.276 0.528

***

Below is a geometry-optimized La2PdAu2 structure, with properties calculated at the PBE-GGA level.

Space-group type ... I4/mmm
Formation enthalpy at 0 K ... -54 kJ/mol of atoms

Cell: 5.825 5.825 5.773 Å, 59.70 59.70 90.00°
Fractional coordinates of all 5 atoms:
Au 0.339 0.339 0.321
Au 0.661 0.661 0.679
Pd 0.000 0.000 0.000
La 0.750 0.250 0.500
La 0.250 0.750 0.500